Here is a geometry-optimized Y2Mg structure from Alexandria. Energies are from GGA-PBE.

Values from the calculation:
E_form = 0.0107 eV per atom
space group = I4_1/amd (141)
calculated total energy = -4.8302 eV per atom

Lattice parameters (Å, degrees): 14.937 14.937 14.937 161.00 161.00 26.99
Element x y z (fractional)
Y 0.041 0.791 0.250
Y 0.124 0.374 0.750
Y 0.209 0.959 0.250
Y 0.374 0.124 0.250
Y 0.626 0.876 0.750
Y 0.791 0.041 0.750
Y 0.876 0.626 0.250
Y 0.959 0.209 0.750
Mg 0.291 0.541 0.750
Mg 0.459 0.709 0.750
Mg 0.541 0.291 0.250
Mg 0.709 0.459 0.250

=====

Here is a geometry-optimized TlZnSi2 structure from Alexandria. Energies are from GGA-PBE.

Values from the calculation:
space group = Fm-3m (225)
calculated total energy = -2.9577 eV per atom
energy relative to the lowest polymorph listed for this composition = 1.61 eV/f.u.

Lattice parameters (Å, degrees): 4.830 4.830 4.830 60.00 60.00 60.00
Element x y z (fractional)
Tl 0.000 0.000 0.000
Zn 0.500 0.500 0.500
Si 0.250 0.250 0.250
Si 0.750 0.750 0.750

=====

Here is a geometry-optimized Rb6AsF12 structure from Alexandria. Energies are from GGA-PBE.

Values from the calculation:
space group = R-3 (148)
calculated total energy = -4.1415 eV per atom

Lattice parameters (Å, degrees): 7.861 7.861 7.861 87.85 87.85 87.85
Element x y z (fractional)
Rb 0.004 0.492 0.741
Rb 0.259 0.996 0.508
Rb 0.492 0.741 0.004
Rb 0.508 0.259 0.996
Rb 0.741 0.004 0.492
Rb 0.996 0.508 0.259
As 0.500 0.500 0.500
F 0.007 0.765 0.505
F 0.235 0.495 0.993
F 0.339 0.363 0.580
F 0.363 0.580 0.339
F 0.420 0.661 0.637
F 0.495 0.993 0.235
F 0.505 0.007 0.765
F 0.580 0.339 0.363
F 0.637 0.420 0.661
F 0.661 0.637 0.420
F 0.765 0.505 0.007
F 0.993 0.235 0.495

=====

Here is a geometry-optimized PrNdBi structure from Alexandria. Energies are from GGA-PBE.

Values from the calculation:
E_form = -0.5432 eV per atom
space group = C2/m (12)
calculated total energy = -5.0193 eV per atom

Lattice parameters (Å, degrees): 6.402 6.402 8.893 116.32 116.32 39.45
Element x y z (fractional)
Pr 0.153 0.153 0.051
Pr 0.847 0.847 0.949
Nd 0.435 0.435 0.657
Nd 0.565 0.565 0.343
Bi 0.160 0.160 0.669
Bi 0.840 0.840 0.331

=====

Here is a geometry-optimized Ce3AsP2 structure from Alexandria. Energies are from GGA-PBE.

Values from the calculation:
E_form = -1.0425 eV per atom
space group = Cmcm (63)
calculated total energy = -6.5876 eV per atom
energy relative to the lowest polymorph listed for this composition = 0.05 eV/f.u.

Lattice parameters (Å, degrees): 7.604 7.604 5.497 90.00 90.00 67.00
Element x y z (fractional)
Ce 0.081 0.919 0.750
Ce 0.168 0.537 0.250
Ce 0.463 0.832 0.250
Ce 0.537 0.168 0.750
Ce 0.832 0.463 0.750
Ce 0.919 0.081 0.250
As 0.408 0.592 0.750
As 0.592 0.408 0.250
P 0.192 0.192 0.000
P 0.192 0.192 0.500
P 0.808 0.808 0.000
P 0.808 0.808 0.500

=====

Here is a geometry-optimized Mg2InCo structure from Alexandria. Energies are from GGA-PBE.

Values from the calculation:
E_form = 0.1997 eV per atom
space group = R3m (160)
calculated total energy = -3.0587 eV per atom

Lattice parameters (Å, degrees): 9.381 9.381 9.381 19.20 19.20 19.20
Element x y z (fractional)
Mg 0.000 0.000 0.000
Mg 0.235 0.235 0.235
In 0.759 0.759 0.759
Co 0.498 0.498 0.498

=====

Here is a geometry-optimized Sr8AgAu2N structure from Alexandria. Energies are from GGA-PBE.

Values from the calculation:
space group = P2/m (10)
calculated total energy = -3.0166 eV per atom

Lattice parameters (Å, degrees): 7.059 8.946 7.285 90.00 91.30 90.00
Element x y z (fractional)
Sr 0.214 0.213 0.162
Sr 0.214 0.787 0.162
Sr 0.234 0.000 0.715
Sr 0.276 0.500 0.662
Sr 0.724 0.500 0.338
Sr 0.766 0.000 0.285
Sr 0.786 0.213 0.838
Sr 0.786 0.787 0.838
Ag 0.000 0.500 0.000
Au 0.500 0.226 0.500
Au 0.500 0.774 0.500
N 0.000 0.000 0.000

=====

Here is a geometry-optimized HfMn2Co2 structure from Alexandria. Energies are from GGA-PBE.

Values from the calculation:
E_form = 0.0269 eV per atom
space group = I4/mmm (139)
calculated total energy = -8.4740 eV per atom
energy relative to the lowest polymorph listed for this composition = 0.28 eV/f.u.

Lattice parameters (Å, degrees): 5.737 5.737 5.737 143.77 143.77 52.18
Element x y z (fractional)
Hf 0.000 0.000 0.000
Mn 0.250 0.750 0.500
Mn 0.750 0.250 0.500
Co 0.393 0.393 0.000
Co 0.607 0.607 0.000